(a)
# NaAs2Cl

A relaxed structure of NaAs2Cl (PBE, Alexandria via LeMat-Bulk).

```
4
Lattice="0.0000 3.5079 3.5079 3.5079 0.0000 3.5079 3.5079 3.5079 0.0000" Properties=species:S:1:pos:R:3 pbc="T T T"
Na 0.0000 0.0000 0.0000
As 1.7539 1.7539 1.7539
As 5.2618 5.2618 5.2618
Cl 3.5079 3.5079 3.5079
```

Results
SG	No. 225
ρ	4.01	g/cm³
Fermi-level density of states	2.922	states/eV/f.u.

(b)
# NaAs2Cl

A relaxed structure of NaAs2Cl (PBE, Alexandria via LeMat-Bulk).

```
8
Lattice="-0.8079 -3.6606 -0.8074 3.7041 -0.6526 -0.7474 4.2078 -6.6471 16.8207" Properties=species:S:1:pos:R:3 pbc="T T T"
Na 1.4481 -2.1566 -0.7774
Na 4.6800 -4.7282 7.6479
As 0.9625 -4.2467 3.5596
As 3.3136 -2.3118 3.6846
As 4.0239 -6.5644 12.0764
As 5.9080 -8.7978 11.2111
Cl 0.0000 0.0000 0.0000
Cl 2.4240 -6.2322 7.6179
```

Results
SG	No. 122
ρ	2.56	g/cm³
Fermi-level density of states	1.074	states/eV/f.u.

Which one sits at the top of the stability order? (b) does.